1.
{
  "formula": "AgHg2GeO4",
  "functional": "GGA-PBE",
  "state": "optimized geometry",
  "lattice_angstrom": [[0.000, 3.724, 4.806], [3.724, 0.000, 4.806], [3.724, 3.724, 0.000]],
  "species": ["Ag", "Hg", "Hg", "Ge", "O", "O", "O", "O"],
  "fractional_positions": [[0.000, 0.000, 0.000], [0.249, 0.249, 0.251], [0.749, 0.749, 0.751], [0.499, 0.499, 0.501], [0.194, 0.594, 0.806], [0.404, 0.804, 0.196], [0.594, 0.194, 0.406], [0.804, 0.404, 0.596]],
  "spacegroup": "Fmm2 (42)",
  "formation_energy_uncorrected_ev_per_atom": -0.6754,
  "magmom_total_mub_per_fu": 0.00,
  "volume_a3_per_cell": 133.3
}


2.
{
  "formula": "PaAgHgGe",
  "functional": "GGA-PBE",
  "state": "optimized geometry",
  "lattice_angstrom": [[0.000, 3.516, 3.516], [3.516, 0.000, 3.516], [3.516, 3.516, 0.000]],
  "species": ["Pa", "Ag", "Hg", "Ge"],
  "fractional_positions": [[0.000, 0.000, 0.000], [0.500, 0.500, 0.500], [0.250, 0.250, 0.250], [0.750, 0.750, 0.750]],
  "spacegroup": "F-43m (216)",
  "magmom_total_mub_per_fu": 0.30,
  "volume_a3_per_cell": 86.9,
  "final_energy_ev_per_cell": -17.3
}


3.
{
  "formula": "PrAgHgGe",
  "functional": "GGA-PBE",
  "state": "optimized geometry",
  "lattice_angstrom": [[0.000, 3.592, 3.592], [3.592, 0.000, 3.592], [3.592, 3.592, 0.000]],
  "species": ["Pr", "Ag", "Hg", "Ge"],
  "fractional_positions": [[0.000, 0.000, 0.000], [0.500, 0.500, 0.500], [0.750, 0.750, 0.750], [0.250, 0.250, 0.250]],
  "spacegroup": "F-43m (216)",
  "magmom_total_mub_per_fu": 0.00,
  "volume_a3_per_cell": 92.7,
  "final_energy_ev_per_cell": -13.9
}


4.
{
  "formula": "PuAgHgGe",
  "functional": "GGA-PBE",
  "state": "optimized geometry",
  "lattice_angstrom": [[0.000, 3.524, 3.524], [3.524, 0.000, 3.524], [3.524, 3.524, 0.000]],
  "species": ["Pu", "Ag", "Hg", "Ge"],
  "fractional_positions": [[0.000, 0.000, 0.000], [0.500, 0.500, 0.500], [0.250, 0.250, 0.250], [0.750, 0.750, 0.750]],
  "spacegroup": "F-43m (216)",
  "magmom_total_mub_per_fu": 5.39,
  "volume_a3_per_cell": 87.5,
  "final_energy_ev_per_cell": -22.6
}


5.
{
  "formula": "RbAgHgGe2",
  "functional": "GGA-PBE",
  "state": "optimized geometry",
  "lattice_angstrom": [[5.303, 0.000, 0.000], [0.000, 5.303, 0.000], [0.000, 0.000, 6.369]],
  "species": ["Rb", "Ag", "Hg", "Ge", "Ge"],
  "fractional_positions": [[0.000, 0.000, 0.000], [0.500, 0.500, 0.000], [0.000, 0.000, 0.500], [0.000, 0.500, 0.500], [0.500, 0.000, 0.500]],
  "spacegroup": "P4/mmm (123)",
  "magmom_total_mub_per_fu": 0.00,
  "volume_a3_per_cell": 179.1,
  "final_energy_ev_per_cell": -9.8
}


6.
{
  "formula": "RbAg2HgGe",
  "functional": "GGA-PBE",
  "state": "optimized geometry",
  "lattice_angstrom": [[5.093, 0.000, 0.000], [0.000, 5.093, 0.000], [0.000, 0.000, 5.727]],
  "species": ["Rb", "Ag", "Ag", "Hg", "Ge"],
  "fractional_positions": [[0.000, 0.000, 0.000], [0.000, 0.500, 0.500], [0.500, 0.000, 0.500], [0.500, 0.500, 0.000], [0.500, 0.500, 0.500]],
  "spacegroup": "P4/mmm (123)",
  "magmom_total_mub_per_fu": 0.00,
  "volume_a3_per_cell": 148.6,
  "final_energy_ev_per_cell": -11.4
}